# MnRh2O4 (PBE+U, optimized geometry)
# - E_tot: -6.981 eV per atom
data_MnRh2O4
_chemical_formula_sum 'Mn2 Rh4 O8'
_symmetry_space_group_name_H-M 'P 1'
_symmetry_Int_Tables_number 1
_symmetry_space_group_name_Hall 'P 1'
_cell_length_a 6.195
_cell_length_b 6.195
_cell_length_c 6.195
_cell_angle_alpha 120.00
_cell_angle_beta 90.00
_cell_angle_gamma 60.00
loop_
_atom_site_label
_atom_site_fract_x
_atom_site_fract_y
_atom_site_fract_z
Mn1 0.875 0.750 0.875
Mn2 0.125 0.250 0.125
Rh1 0.500 0.500 0.000
Rh2 0.500 0.500 0.500
Rh3 0.500 0.000 0.500
Rh4 0.000 0.000 0.500
O1 0.737 0.474 0.737
O2 0.737 0.026 0.737
O3 0.737 0.026 0.289
O4 0.263 0.974 0.711
O5 0.263 0.526 0.263
O6 0.289 0.474 0.737
O7 0.263 0.974 0.263
O8 0.711 0.526 0.263